[1]
The following is a PBE calculation of crystalline LiMn at its relaxed geometry, from Alexandria via LeMat-Bulk.

Properties
- Space-group type: No. 83
- E_form: 0.330 eV per atom
- Total magnetic moment: 0.01 μB/f.u.
- Raw total energy: -5.211 eV per atom

```
LiMn
1.0
9.6245 0.0000 0.0000
0.0000 9.6245 0.0000
0.0000 0.0000 2.7167
Li Mn
8 8
Cartesian
0.3930 6.0500 0.0000
1.4577 1.6568 1.3583
1.6568 8.1669 1.3583
3.5745 0.3930 0.0000
6.0500 9.2315 0.0000
7.9677 1.4577 1.3583
8.1669 7.9677 1.3583
9.2315 3.5745 0.0000
1.9954 4.2657 1.3583
3.2040 5.9013 0.0000
3.7233 3.2040 0.0000
4.2657 7.6292 1.3583
5.3589 1.9954 1.3583
5.9013 6.4206 0.0000
6.4206 3.7233 0.0000
7.6292 5.3589 1.3583
```

---

[2]
The following is a PBE calculation of crystalline LiMn at its relaxed geometry, from Alexandria via LeMat-Bulk.

Properties
- Space-group type: No. 198
- E_form: 0.565 eV per atom
- Total magnetic moment: 3.81 μB/f.u.
- Raw total energy: -4.977 eV per atom

```
LiMn
1.0
4.9875 0.0000 0.0000
0.0000 4.9875 0.0000
0.0000 0.0000 4.9875
Li Mn
4 4
Cartesian
0.4712 2.0226 2.9649
2.0226 2.9649 0.4712
2.9649 0.4712 2.0226
4.5163 4.5163 4.5163
0.4915 4.4960 2.0022
2.0022 0.4915 4.4960
2.9853 2.9853 2.9853
4.4960 2.0022 0.4915
```

---

[3]
The following is a PBE calculation of crystalline LiMn5 at its relaxed geometry, from Alexandria via LeMat-Bulk.

Properties
- Energy relative to the lowest polymorph listed for this composition: 0.052 eV/atom
- Space-group type: No. 216
- E_form: 0.273 eV per atom
- Total magnetic moment: 0.67 μB/f.u.
- Raw total energy: -7.687 eV per atom

```
LiMn5
1.0
0.0000 3.2930 3.2930
3.2930 0.0000 3.2930
3.2930 3.2930 0.0000
Li Mn
1 5
Cartesian
0.0000 0.0000 0.0000
2.4653 2.4653 2.4653
4.1206 4.1206 2.4653
4.1206 2.4653 4.1206
4.9394 4.9394 4.9394
2.4653 4.1206 4.1206
```

---

[4]
The following is a PBE calculation of crystalline LiMn at its relaxed geometry, from Alexandria via LeMat-Bulk.

Properties
- Space-group type: No. 187
- E_form: 0.400 eV per atom
- Total magnetic moment: 0.00 μB/f.u.
- Raw total energy: -5.141 eV per atom

```
LiMn
1.0
2.4203 0.0000 0.0000
-1.2101 2.0960 0.0000
0.0000 0.0000 4.5697
Li Mn
1 1
Cartesian
0.0000 0.0000 0.0000
0.0000 1.3973 2.2848
```

---

[5]
The following is a PBE calculation of crystalline LiMn at its relaxed geometry, from Alexandria via LeMat-Bulk.

Properties
- Space-group type: No. 216
- E_form: 1.499 eV per atom
- Total magnetic moment: 4.36 μB/f.u.
- Raw total energy: -4.043 eV per atom

```
LiMn
1.0
0.0000 2.9703 2.9703
2.9703 0.0000 2.9703
2.9703 2.9703 0.0000
Li Mn
1 1
Cartesian
0.0000 0.0000 0.0000
4.4555 4.4555 4.4555
```

---

[6]
The following is a PBE calculation of crystalline LiMn at its relaxed geometry, from Alexandria via LeMat-Bulk.

Properties
- Space-group type: No. 166
- E_form: 0.373 eV per atom
- Total magnetic moment: 2.59 μB/f.u.
- Raw total energy: -5.169 eV per atom

```
LiMn
1.0
1.2842 0.7415 4.6453
-1.2842 0.7415 4.6453
0.0000 -1.4829 4.6453
Li Mn
1 1
Cartesian
0.0000 0.0000 0.0000
0.0000 0.0000 6.9679
```

---

[7]
The following is a PBE calculation of crystalline LiMn at its relaxed geometry, from Alexandria via LeMat-Bulk.

Properties
- Space-group type: No. 221
- E_form: 0.519 eV per atom
- Total magnetic moment: 4.00 μB/f.u.
- Raw total energy: -5.022 eV per atom

```
LiMn
1.0
3.1386 0.0000 0.0000
0.0000 3.1386 0.0000
0.0000 0.0000 3.1386
Li Mn
1 1
Cartesian
0.0000 0.0000 0.0000
1.5693 1.5693 1.5693
```

---

[8]
The following is a PBE calculation of crystalline LiMn5 at its relaxed geometry, from Alexandria via LeMat-Bulk.

Properties
- Energy relative to the lowest polymorph listed for this composition: 0.055 eV/atom
- Space-group type: No. 189
- E_form: 0.276 eV per atom
- Total magnetic moment: 0.01 μB/f.u.
- Raw total energy: -7.684 eV per atom

```
LiMn5
1.0
4.2736 0.0000 0.0000
-2.1368 3.7010 0.0000
0.0000 0.0000 4.0389
Li Mn
1 5
Cartesian
0.0000 0.0000 0.0000
-1.4302 2.4772 2.0195
0.7066 1.2238 2.0195
0.0000 2.4674 0.0000
2.1368 1.2337 0.0000
2.8605 0.0000 2.0195
```

---

[9]
The following is a PBE calculation of crystalline LiMn at its relaxed geometry, from Alexandria via LeMat-Bulk.

Properties
- Space-group type: No. 51
- E_form: 0.353 eV per atom
- Total magnetic moment: 0.00 μB/f.u.
- Raw total energy: -5.189 eV per atom

```
LiMn
1.0
4.0350 0.0000 0.0000
0.0000 2.2537 0.0000
0.0000 0.0000 5.2211
Li Mn
2 2
Cartesian
1.0088 0.0000 0.6476
3.0263 0.0000 4.5735
1.0088 1.1268 3.1122
3.0263 1.1268 2.1090
```

---

[10]
The following is a PBE calculation of crystalline Li4Mn5 at its relaxed geometry, from Alexandria via LeMat-Bulk.

Properties
- Energy relative to the lowest polymorph listed for this composition: 0.000 eV/atom
- Space-group type: No. 139
- E_form: 0.342 eV per atom
- Total magnetic moment: 9.17 μB/f.u.
- Raw total energy: -5.603 eV per atom

```
Li4Mn5
1.0
-4.6584 4.6584 1.3707
4.6584 -4.6584 1.3707
4.6584 4.6584 -1.3707
Li Mn
4 5
Cartesian
3.0847 0.0000 0.0000
6.2321 0.0000 0.0000
0.0000 3.0847 0.0000
0.0000 6.2321 0.0000
0.0000 0.0000 0.0000
3.1227 3.1227 0.0000
1.5357 -1.5357 1.3707
-1.5357 1.5357 1.3707
1.5357 1.5357 1.3707
```

---

[11]
The following is a PBE calculation of crystalline LiMn at its relaxed geometry, from Alexandria via LeMat-Bulk.

Properties
- Space-group type: No. 136
- E_form: 0.780 eV per atom
- Total magnetic moment: 3.86 μB/f.u.
- Raw total energy: -4.762 eV per atom

```
LiMn
1.0
5.0923 0.0000 0.0000
0.0000 5.0923 0.0000
0.0000 0.0000 5.0551
Li Mn
4 4
Cartesian
0.9277 0.9277 0.0000
1.6185 3.4738 2.5275
3.4738 1.6185 2.5275
4.1647 4.1647 0.0000
0.9413 0.9413 2.5275
1.6048 3.4875 0.0000
3.4875 1.6048 0.0000
4.1510 4.1510 2.5275
```

---

[12]
The following is a PBE calculation of crystalline LiMn at its relaxed geometry, from Alexandria via LeMat-Bulk.

Properties
- Space-group type: No. 70
- E_form: 0.668 eV per atom
- Total magnetic moment: 1.18 μB/f.u.
- Raw total energy: -4.874 eV per atom

```
LiMn
1.0
0.0000 3.5876 6.3416
2.3300 0.0000 6.3416
2.3300 3.5876 0.0000
Li Mn
4 4
Cartesian
1.7475 0.2352 4.7562
2.9126 2.0290 7.9270
1.7475 5.1462 4.7562
2.9126 6.9400 7.9270
1.7475 2.6907 3.7090
1.7475 2.6907 5.8034
2.9126 4.4845 6.8798
2.9126 4.4845 8.9742
```